{"formula": "NaPmPrMg", "functional": "PBE", "state": "optimized geometry", "lattice": [[0.0000, 3.9786, 3.9786], [3.9786, 0.0000, 3.9786], [3.9786, 3.9786, 0.0000]], "species": ["Na", "Pm", "Pr", "Mg"], "fractional_positions": [[0.0000, 0.0000, 0.0000], [0.2500, 0.2500, 0.2500], [0.7500, 0.7500, 0.7500], [0.5000, 0.5000, 0.5000]], "n_ef_per_ev_cell": 6.39, "formation_enthalpy_0k_ev_per_atom": 0.13, "crystal_system": "cubic"}